An optimized crystal structure of TbPr7Nd12. Source: Alexandria via LeMat-Bulk, functional PBE.

Summary:
- DOS at the Fermi energy: 59.7 states/eV/cell
- Total magnetization: 0.0 μB per cell
- Calculated formation energy: 1135 kJ/mol of formula units

Cell lengths 11.7084, 11.7084, 11.7084 Å; angles 90.00, 90.00, 90.00 degrees
Space group Im-3 (No. 204)
Inequivalent atoms, fractional coordinates:
Tb 0.0000 0.0000 0.0000 (multiplicity 2)
Pr 0.0000 0.0000 0.5000 (multiplicity 6)
Pr 0.2500 0.2500 0.2500 (multiplicity 8)
Nd 0.0000 0.2470 0.2464 (multiplicity 24)